The following is a DFT calculation (PBE-GGA) of crystalline ScTiCd6 at its relaxed geometry.

## Properties
ΔH_f (0 K) in eV/atom: -0.088
Space group: P4/mmm (123)
Mass density in g/cm³: 7.55

Lattice parameters (Å, degrees): 4.3701 4.3701 8.8423 90.00 90.00 90.00
With the nearest neighbours (Å) after each atom.
Fractional coordinates of all 8 atoms:
1 Cd 0.5000 0.0000 0.7439  8 Cd 3.07-3.15, 2 Ti 3.07, 2 Sc 3.15
2 Cd 0.5000 0.0000 0.2561  8 Cd 3.07-3.15, 2 Ti 3.07, 2 Sc 3.15
3 Cd 0.5000 0.5000 0.0000  4 Sc 3.09, 8 Cd 3.15
4 Cd 0.0000 0.5000 0.2561  2 Ti 3.07, 8 Cd 3.07-3.15, 2 Sc 3.15
5 Cd 0.5000 0.5000 0.5000  8 Cd 3.07, 4 Ti 3.09
6 Cd 0.0000 0.5000 0.7439  2 Ti 3.07, 8 Cd 3.07-3.15, 2 Sc 3.15
7 Sc 0.0000 0.0000 0.0000  12 Cd 3.09-3.15
8 Ti 0.0000 0.0000 0.5000  12 Cd 3.07-3.09

=====

The following is a DFT calculation (PBE-GGA) of crystalline Pm7Nd2Er2 at its relaxed geometry.

## Properties
ΔH_f (0 K) in eV/atom: 0.296
Relative energy among the computed polymorphs in meV/atom: 280
Space group: C2/m (12)
Mass density in g/cm³: 7.08

Lattice parameters (Å, degrees): 6.9949 7.7619 7.7619 109.54 98.35 98.35
With the nearest neighbours (Å) after each atom.
Fractional coordinates of all 11 atoms:
1 Er 0.5000 0.1210 0.8790  1 Er 3.07, 2 Pm 3.24
2 Er 0.5000 0.8790 0.1210  1 Er 3.07, 2 Pm 3.24
3 Pm 0.3834 0.3225 0.3225  2 Pm 3.19-3.41, 2 Nd 3.48-3.51, 2 Er 3.54
4 Pm 0.6166 0.6775 0.6775  2 Pm 3.19-3.41, 2 Nd 3.48-3.51, 2 Er 3.54
5 Pm 0.0000 0.0000 0.0000  2 Nd 3.18, 2 Pm 3.41
6 Pm 0.2102 0.4156 0.9104  1 Nd 3.22, 2 Er 3.24-3.56, 2 Pm 3.59
7 Pm 0.2102 0.9104 0.4156  1 Nd 3.22, 2 Er 3.24-3.56, 2 Pm 3.59
8 Pm 0.7898 0.5844 0.0896  1 Nd 3.22, 2 Er 3.24-3.56, 2 Pm 3.59
9 Pm 0.7898 0.0896 0.5844  1 Nd 3.22, 2 Er 3.24-3.56, 2 Pm 3.59
10 Nd 0.8849 0.3217 0.3217  5 Pm 3.18-3.51, 1 Nd 3.19
11 Nd 0.1151 0.6783 0.6783  5 Pm 3.18-3.51, 1 Nd 3.19

=====

Please write out number 1 again, unchanged.
The following is a DFT calculation (PBE-GGA) of crystalline ScTiCd6 at its relaxed geometry.

## Properties
ΔH_f (0 K) in eV/atom: -0.088
Space group: P4/mmm (123)
Mass density in g/cm³: 7.55

Lattice parameters (Å, degrees): 4.3701 4.3701 8.8423 90.00 90.00 90.00
With the nearest neighbours (Å) after each atom.
Fractional coordinates of all 8 atoms:
1 Cd 0.5000 0.0000 0.7439  8 Cd 3.07-3.15, 2 Ti 3.07, 2 Sc 3.15
2 Cd 0.5000 0.0000 0.2561  8 Cd 3.07-3.15, 2 Ti 3.07, 2 Sc 3.15
3 Cd 0.5000 0.5000 0.0000  4 Sc 3.09, 8 Cd 3.15
4 Cd 0.0000 0.5000 0.2561  2 Ti 3.07, 8 Cd 3.07-3.15, 2 Sc 3.15
5 Cd 0.5000 0.5000 0.5000  8 Cd 3.07, 4 Ti 3.09
6 Cd 0.0000 0.5000 0.7439  2 Ti 3.07, 8 Cd 3.07-3.15, 2 Sc 3.15
7 Sc 0.0000 0.0000 0.0000  12 Cd 3.09-3.15
8 Ti 0.0000 0.0000 0.5000  12 Cd 3.07-3.09